No. 1
Material: PaCoSi
Method: DFT, PBE
State: optimized geometry

The structure in CIF format:
```
data_PaCoSi
_chemical_formula_sum 'Pa4 Co4 Si4'
_space_group_name_H-M_alt 'F -4 3 m'
_space_group_IT_number 216
_space_group_name_Hall 'F -4 2 3'
_cell_length_a 6.301
_cell_length_b 6.301
_cell_length_c 6.301
_cell_angle_alpha 90.00
_cell_angle_beta 90.00
_cell_angle_gamma 90.00
loop_
_atom_site_label
_atom_site_fract_x
_atom_site_fract_y
_atom_site_fract_z
Pa1 0.000 0.000 0.000
Co1 0.250 0.250 0.750
Si1 0.250 0.250 0.250
```

Output
The crystal system is cubic. For the magnetic moment, the calculation gives 0.06 μB/f.u. As for the calculated density: 8.45 g/cm³. The total energy is -0.50722 Ry/atom.


No. 2
Material: Nd2Sm2C2Cl5
Method: DFT, PBE
State: optimized geometry

The structure in CIF format:
```
data_Nd2Sm2C2Cl5
_chemical_formula_sum 'Nd4 Sm4 C4 Cl10'
_space_group_name_H-M_alt 'C 1 2/m 1'
_space_group_IT_number 12
_cell_length_a 19.182
_cell_length_b 3.888
_cell_length_c 7.772
_cell_angle_alpha 90.00
_cell_angle_beta 113.74
_cell_angle_gamma 90.00
loop_
_space_group_symop_operation_xyz
'x,y,z'
'-x,-y,-z'
'-x,y,-z'
'x,-y,z'
'x+1/2,y+1/2,z'
'-x+1/2,-y+1/2,-z'
'-x+1/2,y+1/2,-z'
'x+1/2,-y+1/2,z'
loop_
_atom_site_label
_atom_site_fract_x
_atom_site_fract_y
_atom_site_fract_z
Nd1 0.000 0.000 0.213
Sm1 0.166 0.500 0.165
C1 0.040 0.500 0.040
Cl1 0.000 0.500 0.500
Cl2 0.168 0.000 0.432
Cl3 0.168 0.000 0.902
```

Output
The value obtained for the excess energy over the best structure of this formula in the dataset is 0 meV per atom. The crystal system is monoclinic. For the magnetic moment, the calculation gives 0.00 μB/f.u. As for the calculated density: 4.95 g/cm³. The total energy is -0.42861 Ry/atom.


What did the second record say?
Material: Nd2Sm2C2Cl5
Method: DFT, PBE
State: optimized geometry

The structure in CIF format:
```
data_Nd2Sm2C2Cl5
_chemical_formula_sum 'Nd4 Sm4 C4 Cl10'
_space_group_name_H-M_alt 'C 1 2/m 1'
_space_group_IT_number 12
_cell_length_a 19.182
_cell_length_b 3.888
_cell_length_c 7.772
_cell_angle_alpha 90.00
_cell_angle_beta 113.74
_cell_angle_gamma 90.00
loop_
_space_group_symop_operation_xyz
'x,y,z'
'-x,-y,-z'
'-x,y,-z'
'x,-y,z'
'x+1/2,y+1/2,z'
'-x+1/2,-y+1/2,-z'
'-x+1/2,y+1/2,-z'
'x+1/2,-y+1/2,z'
loop_
_atom_site_label
_atom_site_fract_x
_atom_site_fract_y
_atom_site_fract_z
Nd1 0.000 0.000 0.213
Sm1 0.166 0.500 0.165
C1 0.040 0.500 0.040
Cl1 0.000 0.500 0.500
Cl2 0.168 0.000 0.432
Cl3 0.168 0.000 0.902
```

Output
The value obtained for the excess energy over the best structure of this formula in the dataset is 0 meV per atom. The crystal system is monoclinic. For the magnetic moment, the calculation gives 0.00 μB/f.u. As for the calculated density: 4.95 g/cm³. The total energy is -0.42861 Ry/atom.


- What is the magnetic moment in the second record?
  0.00 μB/f.u.